# PrDyMg2, relaxed, DFT GGA-PBEsol
# VASP energy: -3.489 eV per atom
# energy of formation from the pure elements: -89.7 meV per atom
data_PrDyMg2
_chemical_formula_sum 'Pr4 Dy4 Mg8'
_symmetry_space_group_name_H-M 'F m -3 m'
_symmetry_Int_Tables_number 225
_symmetry_space_group_name_Hall '-F 4 2 3'
_cell_length_a 7.5906
_cell_length_b 7.5906
_cell_length_c 7.5906
_cell_angle_alpha 90.00
_cell_angle_beta 90.00
_cell_angle_gamma 90.00
loop_
_atom_site_label
_atom_site_fract_x
_atom_site_fract_y
_atom_site_fract_z
Pr1 0.0000 0.0000 0.0000
Dy1 0.0000 0.0000 0.5000
Mg1 0.2500 0.2500 0.2500

***

# NdSmZn2, relaxed, DFT GGA-PBEsol
# VASP energy: -3.663 eV per atom
# energy of formation from the pure elements: -307.7 meV per atom
data_NdSmZn2
_chemical_formula_sum 'Nd4 Sm4 Zn8'
_symmetry_space_group_name_H-M 'F m -3 m'
_symmetry_Int_Tables_number 225
_symmetry_space_group_name_Hall '-F 4 2 3'
_cell_length_a 7.1787
_cell_length_b 7.1787
_cell_length_c 7.1787
_cell_angle_alpha 90.00
_cell_angle_beta 90.00
_cell_angle_gamma 90.00
loop_
_atom_site_label
_atom_site_fract_x
_atom_site_fract_y
_atom_site_fract_z
Nd1 0.0000 0.0000 0.0000
Sm1 0.0000 0.0000 0.5000
Zn1 0.2500 0.2500 0.2500

***

# BeCd2, relaxed, DFT GGA-PBEsol
# VASP energy: -1.739 eV per atom
# ΔE to the lowest computed polymorph: 0.166 eV/atom
# energy of formation from the pure elements: 392.7 meV per atom
data_BeCd2
_chemical_formula_sum 'Be2 Cd4'
_symmetry_space_group_name_H-M 'P 63/m m c'
_symmetry_Int_Tables_number 194
_symmetry_space_group_name_Hall '-P 6c 2c'
_cell_length_a 4.3864
_cell_length_b 4.3864
_cell_length_c 6.0979
_cell_angle_alpha 90.00
_cell_angle_beta 90.00
_cell_angle_gamma 120.00
loop_
_atom_site_label
_atom_site_fract_x
_atom_site_fract_y
_atom_site_fract_z
Be1 0.3333 0.6667 0.2500
Cd1 0.0000 0.0000 0.0000
Cd2 0.3333 0.6667 0.7500

***

# RbGeNO2, relaxed, DFT GGA-PBEsol
# VASP energy: -5.397 eV per atom
# uncorrected formation energy: -1.99 eV/f.u.
data_RbGeNO2
_chemical_formula_sum 'Rb1 Ge1 N1 O2'
_symmetry_space_group_name_H-M 'P 4/m m m'
_symmetry_Int_Tables_number 123
_symmetry_space_group_name_Hall '-P 4 2'
_cell_length_a 3.8886
_cell_length_b 3.8886
_cell_length_c 4.0504
_cell_angle_alpha 90.00
_cell_angle_beta 90.00
_cell_angle_gamma 90.00
loop_
_atom_site_label
_atom_site_fract_x
_atom_site_fract_y
_atom_site_fract_z
Rb1 0.0000 0.0000 0.0000
Ge1 0.5000 0.5000 0.5000
N1 0.5000 0.5000 0.0000
O1 0.0000 0.5000 0.5000

***

# LiPb, relaxed, DFT GGA-PBEsol
# VASP energy: -3.180 eV per atom
# energy of formation from the pure elements: -197.2 meV per atom
data_LiPb
_chemical_formula_sum 'Li2 Pb2'
_symmetry_space_group_name_H-M 'P 4/n m m'
_symmetry_Int_Tables_number 129
_cell_length_a 3.9398
_cell_length_b 3.9398
_cell_length_c 5.9078
_cell_angle_alpha 90.00
_cell_angle_beta 90.00
_cell_angle_gamma 90.00
loop_
_symmetry_equiv_pos_as_xyz
'x,y,z'
'-x,-y,-z'
'-y+1/2,x,z'
'y+1/2,-x,-z'
'-x+1/2,-y+1/2,z'
'x+1/2,y+1/2,-z'
'y,-x+1/2,z'
'-y,x+1/2,-z'
'x+1/2,-y,-z'
'-x+1/2,y,z'
'-y,-x,-z'
'y,x,z'
'-x,y+1/2,-z'
'x,-y+1/2,z'
'y+1/2,x+1/2,-z'
'-y+1/2,-x+1/2,z'
loop_
_atom_site_label
_atom_site_fract_x
_atom_site_fract_y
_atom_site_fract_z
Li1 0.2500 0.2500 0.1350
Pb1 0.2500 0.2500 0.6416

***

# MnIn2Pb, relaxed, DFT GGA-PBEsol
# VASP energy: -4.600 eV per atom
# energy of formation from the pure elements: 330.9 meV per atom
data_MnIn2Pb
_chemical_formula_sum 'Mn1 In2 Pb1'
_symmetry_space_group_name_H-M 'P 4/m m m'
_symmetry_Int_Tables_number 123
_symmetry_space_group_name_Hall '-P 4 2'
_cell_length_a 4.3434
_cell_length_b 4.3434
_cell_length_c 4.7855
_cell_angle_alpha 90.00
_cell_angle_beta 90.00
_cell_angle_gamma 90.00
loop_
_atom_site_label
_atom_site_fract_x
_atom_site_fract_y
_atom_site_fract_z
Mn1 0.0000 0.0000 0.0000
In1 0.0000 0.5000 0.5000
Pb1 0.5000 0.5000 0.0000

***

# KSeCl2, relaxed, DFT GGA-PBEsol
# VASP energy: -2.707 eV per atom
# ΔE to the lowest computed polymorph: 0.375 eV/atom
# uncorrected formation energy: -1.83 eV/f.u.
data_KSeCl2
_chemical_formula_sum 'K1 Se1 Cl2'
_symmetry_space_group_name_H-M 'P 4/m m m'
_symmetry_Int_Tables_number 123
_symmetry_space_group_name_Hall '-P 4 2'
_cell_length_a 3.7184
_cell_length_b 3.7184
_cell_length_c 7.1993
_cell_angle_alpha 90.00
_cell_angle_beta 90.00
_cell_angle_gamma 90.00
loop_
_atom_site_label
_atom_site_fract_x
_atom_site_fract_y
_atom_site_fract_z
K1 0.0000 0.0000 0.0000
Se1 0.0000 0.0000 0.5000
Cl1 0.5000 0.5000 0.2521

***

# NaGe2Pd2, relaxed, DFT GGA-PBEsol
# VASP energy: -5.069 eV per atom
# ΔE to the lowest computed polymorph: 0.000 eV/atom
# energy of formation from the pure elements: -430.3 meV per atom
data_NaGe2Pd2
_chemical_formula_sum 'Na2 Ge4 Pd4'
_symmetry_space_group_name_H-M 'I 4/m m m'
_symmetry_Int_Tables_number 139
_symmetry_space_group_name_Hall '-I 4 2'
_cell_length_a 4.2089
_cell_length_b 4.2089
_cell_length_c 10.2093
_cell_angle_alpha 90.00
_cell_angle_beta 90.00
_cell_angle_gamma 90.00
loop_
_atom_site_label
_atom_site_fract_x
_atom_site_fract_y
_atom_site_fract_z
Na1 0.0000 0.0000 0.0000
Ge1 0.0000 0.0000 0.3782
Pd1 0.0000 0.5000 0.2500

***

# LiLaCr2, relaxed, DFT GGA-PBEsol
# VASP energy: -6.380 eV per atom
# ΔE to the lowest computed polymorph: 0.115 eV/atom
# energy of formation from the pure elements: 569.3 meV per atom
data_LiLaCr2
_chemical_formula_sum 'Li4 La4 Cr8'
_symmetry_space_group_name_H-M 'F -4 3 m'
_symmetry_Int_Tables_number 216
_symmetry_space_group_name_Hall 'F -4 2 3'
_cell_length_a 6.6691
_cell_length_b 6.6691
_cell_length_c 6.6691
_cell_angle_alpha 90.00
_cell_angle_beta 90.00
_cell_angle_gamma 90.00
loop_
_atom_site_label
_atom_site_fract_x
_atom_site_fract_y
_atom_site_fract_z
Li1 0.0000 0.0000 0.0000
La1 0.2500 0.2500 0.7500
Cr1 0.0000 0.0000 0.5000
Cr2 0.2500 0.2500 0.2500

***

# Be3ZnIn, relaxed, DFT GGA-PBEsol
# VASP energy: -2.108 eV per atom
# ΔE to the lowest computed polymorph: 0.476 eV/atom
# energy of formation from the pure elements: 1205.2 meV per atom
data_Be3ZnIn
_chemical_formula_sum 'Be3 Zn1 In1'
_symmetry_space_group_name_H-M 'P m -3 m'
_symmetry_Int_Tables_number 221
_symmetry_space_group_name_Hall '-P 4 2 3'
_cell_length_a 4.5204
_cell_length_b 4.5204
_cell_length_c 4.5204
_cell_angle_alpha 90.00
_cell_angle_beta 90.00
_cell_angle_gamma 90.00
loop_
_atom_site_label
_atom_site_fract_x
_atom_site_fract_y
_atom_site_fract_z
Be1 0.0000 0.0000 0.5000
Zn1 0.5000 0.5000 0.5000
In1 0.0000 0.0000 0.0000

***

# SrLiAl3N4, relaxed, DFT GGA-PBEsol
# VASP energy: -6.857 eV per atom
# uncorrected formation energy: -11.52 eV/f.u.
data_SrLiAl3N4
_chemical_formula_sum 'Sr4 Li4 Al12 N16'
_symmetry_space_group_name_H-M 'P -1'
_symmetry_Int_Tables_number 2
_symmetry_space_group_name_Hall '-P 1'
_cell_length_a 5.8302
_cell_length_b 7.4651
_cell_length_c 9.9127
_cell_angle_alpha 83.54
_cell_angle_beta 76.80
_cell_angle_gamma 79.55
loop_
_atom_site_label
_atom_site_fract_x
_atom_site_fract_y
_atom_site_fract_z
Sr1 0.0031 0.1339 0.1272
Sr2 0.0229 0.3847 0.3714
Li1 0.2074 0.1807 0.6448
Li2 0.4672 0.3241 0.1132
Al1 0.1688 0.7074 0.1474
Al2 0.1749 0.9405 0.3980
Al3 0.1801 0.4428 0.9002
Al4 0.4380 0.7967 0.6326
Al5 0.4484 0.0462 0.8763
Al6 0.4691 0.5616 0.3753
N1 0.1515 0.9315 0.5929
N2 0.1617 0.4750 0.0897
N3 0.1687 0.2045 0.8558
N4 0.1958 0.7089 0.3332
N5 0.3418 0.5917 0.7615
N6 0.3489 0.8674 0.0278
N7 0.3709 0.3555 0.5047
N8 0.3831 0.0846 0.2790

***

# CoSiS2Cl, relaxed, DFT GGA-PBEsol
# VASP energy: -4.582 eV per atom
# uncorrected formation energy: 1.35 eV/f.u.
data_CoSiS2Cl
_chemical_formula_sum 'Co1 Si1 S2 Cl1'
_symmetry_space_group_name_H-M 'P 4/m m m'
_symmetry_Int_Tables_number 123
_symmetry_space_group_name_Hall '-P 4 2'
_cell_length_a 4.3786
_cell_length_b 4.3786
_cell_length_c 4.4429
_cell_angle_alpha 90.00
_cell_angle_beta 90.00
_cell_angle_gamma 90.00
loop_
_atom_site_label
_atom_site_fract_x
_atom_site_fract_y
_atom_site_fract_z
Co1 0.0000 0.0000 0.0000
Si1 0.5000 0.5000 0.5000
S1 0.0000 0.5000 0.0000
Cl1 0.0000 0.0000 0.5000

***

# Ba2SrMn, relaxed, DFT GGA-PBEsol
# VASP energy: -3.403 eV per atom
# ΔE to the lowest computed polymorph: 0.040 eV/atom
# energy of formation from the pure elements: 572.0 meV per atom
data_Ba2SrMn
_chemical_formula_sum 'Ba8 Sr4 Mn4'
_symmetry_space_group_name_H-M 'F m -3 m'
_symmetry_Int_Tables_number 225
_symmetry_space_group_name_Hall '-F 4 2 3'
_cell_length_a 8.7212
_cell_length_b 8.7212
_cell_length_c 8.7212
_cell_angle_alpha 90.00
_cell_angle_beta 90.00
_cell_angle_gamma 90.00
loop_
_atom_site_label
_atom_site_fract_x
_atom_site_fract_y
_atom_site_fract_z
Ba1 0.2500 0.2500 0.2500
Sr1 0.0000 0.0000 0.0000
Mn1 0.0000 0.0000 0.5000

***

# ZnSn3Pb, relaxed, DFT GGA-PBEsol
# VASP energy: -2.714 eV per atom
# ΔE to the lowest computed polymorph: 0.657 eV/atom
# energy of formation from the pure elements: 957.7 meV per atom
data_ZnSn3Pb
_chemical_formula_sum 'Zn1 Sn3 Pb1'
_symmetry_space_group_name_H-M 'P m -3 m'
_symmetry_Int_Tables_number 221
_symmetry_space_group_name_Hall '-P 4 2 3'
_cell_length_a 5.7257
_cell_length_b 5.7257
_cell_length_c 5.7257
_cell_angle_alpha 90.00
_cell_angle_beta 90.00
_cell_angle_gamma 90.00
loop_
_atom_site_label
_atom_site_fract_x
_atom_site_fract_y
_atom_site_fract_z
Zn1 0.0000 0.0000 0.0000
Sn1 0.0000 0.5000 0.5000
Pb1 0.5000 0.5000 0.5000

***

# KRe2Rh, relaxed, DFT GGA-PBEsol
# VASP energy: -8.048 eV per atom
# ΔE to the lowest computed polymorph: 0.198 eV/atom
# energy of formation from the pure elements: 936.0 meV per atom
data_KRe2Rh
_chemical_formula_sum 'K2 Re4 Rh2'
_symmetry_space_group_name_H-M 'I m m m'
_symmetry_Int_Tables_number 71
_symmetry_space_group_name_Hall '-I 2 2'
_cell_length_a 2.6365
_cell_length_b 4.8471
_cell_length_c 10.7913
_cell_angle_alpha 90.00
_cell_angle_beta 90.00
_cell_angle_gamma 90.00
loop_
_atom_site_label
_atom_site_fract_x
_atom_site_fract_y
_atom_site_fract_z
K1 0.0000 0.0000 0.0000
Re1 0.0000 0.5000 0.2103
Rh1 0.0000 0.0000 0.5000

***

# K2HgTe2, relaxed, DFT GGA-PBEsol
# VASP energy: -2.608 eV per atom
# uncorrected formation energy: -3.15 eV/f.u.
data_K2HgTe2
_chemical_formula_sum 'K4 Hg2 Te4'
_symmetry_space_group_name_H-M 'I 4/m m m'
_symmetry_Int_Tables_number 139
_symmetry_space_group_name_Hall '-I 4 2'
_cell_length_a 6.9360
_cell_length_b 6.9360
_cell_length_c 8.9720
_cell_angle_alpha 90.00
_cell_angle_beta 90.00
_cell_angle_gamma 90.00
loop_
_atom_site_label
_atom_site_fract_x
_atom_site_fract_y
_atom_site_fract_z
K1 0.0000 0.5000 0.2500
Hg1 0.0000 0.0000 0.0000
Te1 0.0000 0.0000 0.2940

***

# CuAg2Pt, relaxed, DFT GGA-PBEsol
# VASP energy: -4.492 eV per atom
# ΔE to the lowest computed polymorph: 0.008 eV/atom
# energy of formation from the pure elements: -11.6 meV per atom
data_CuAg2Pt
_chemical_formula_sum 'Cu3 Ag6 Pt3'
_symmetry_space_group_name_H-M 'R 3 m'
_symmetry_Int_Tables_number 160
_symmetry_space_group_name_Hall 'R 3 -2"'
_cell_length_a 2.7621
_cell_length_b 2.7621
_cell_length_c 27.0247
_cell_angle_alpha 90.00
_cell_angle_beta 90.00
_cell_angle_gamma 120.00
loop_
_atom_site_label
_atom_site_fract_x
_atom_site_fract_y
_atom_site_fract_z
Cu1 0.0000 0.0000 0.0000
Ag1 0.0000 0.0000 0.2537
Ag2 0.0000 0.0000 0.4980
Pt1 0.0000 0.0000 0.7434

***

# K2TmAgCl6, relaxed, DFT GGA-PBEsol
# VASP energy: -4.014 eV per atom
# uncorrected formation energy: -17.61 eV/f.u.
data_K2TmAgCl6
_chemical_formula_sum 'K8 Tm4 Ag4 Cl24'
_symmetry_space_group_name_H-M 'F m -3 m'
_symmetry_Int_Tables_number 225
_symmetry_space_group_name_Hall '-F 4 2 3'
_cell_length_a 10.3906
_cell_length_b 10.3906
_cell_length_c 10.3906
_cell_angle_alpha 90.00
_cell_angle_beta 90.00
_cell_angle_gamma 90.00
loop_
_atom_site_label
_atom_site_fract_x
_atom_site_fract_y
_atom_site_fract_z
K1 0.2500 0.2500 0.2500
Tm1 0.0000 0.0000 0.0000
Ag1 0.0000 0.0000 0.5000
Cl1 0.0000 0.0000 0.2459

***

# ScCuPb2, relaxed, DFT GGA-PBEsol
# VASP energy: -4.712 eV per atom
# ΔE to the lowest computed polymorph: 0.081 eV/atom
# energy of formation from the pure elements: 22.1 meV per atom
data_ScCuPb2
_chemical_formula_sum 'Sc1 Cu1 Pb2'
_symmetry_space_group_name_H-M 'P 4/m m m'
_symmetry_Int_Tables_number 123
_symmetry_space_group_name_Hall '-P 4 2'
_cell_length_a 3.5291
_cell_length_b 3.5291
_cell_length_c 6.8840
_cell_angle_alpha 90.00
_cell_angle_beta 90.00
_cell_angle_gamma 90.00
loop_
_atom_site_label
_atom_site_fract_x
_atom_site_fract_y
_atom_site_fract_z
Sc1 0.0000 0.0000 0.0000
Cu1 0.0000 0.0000 0.5000
Pb1 0.5000 0.5000 0.2744

***

# Sc2NiAsRh, relaxed, DFT GGA-PBEsol
# VASP energy: -6.336 eV per atom
# energy of formation from the pure elements: 186.0 meV per atom
data_Sc2NiAsRh
_chemical_formula_sum 'Sc2 Ni1 As1 Rh1'
_symmetry_space_group_name_H-M 'P 4/m m m'
_symmetry_Int_Tables_number 123
_symmetry_space_group_name_Hall '-P 4 2'
_cell_length_a 4.9053
_cell_length_b 4.9053
_cell_length_c 4.4157
_cell_angle_alpha 90.00
_cell_angle_beta 90.00
_cell_angle_gamma 90.00
loop_
_atom_site_label
_atom_site_fract_x
_atom_site_fract_y
_atom_site_fract_z
Sc1 0.0000 0.5000 0.0000
Ni1 0.0000 0.0000 0.5000
As1 0.5000 0.5000 0.0000
Rh1 0.5000 0.5000 0.5000